No. 1
Material: Be2AgIr
Method: DFT, GGA-PBE
State: relaxed

a b c (Å): 5.908 5.908 5.908
angles (deg): 90.00 90.00 90.00
Space group F-43m (No. 216)
Unique sites:
Be (0.000, 0.000, 0.000) [4 per cell]
Be (0.250, 0.250, 0.250) [4 per cell]
Ag (0.000, 0.000, 0.500) [4 per cell]
Ir (0.250, 0.250, 0.750) [4 per cell]

Computed properties:
E_tot = -4.501 eV per atom



No. 2
Material: BeAgIr2
Method: DFT, GGA-PBE
State: relaxed

a b c (Å): 6.106 6.106 6.106
angles (deg): 90.00 90.00 90.00
Space group F-43m (No. 216)
Unique sites:
Be (0.000, 0.000, 0.000) [4 per cell]
Ag (0.250, 0.250, 0.250) [4 per cell]
Ir (0.000, 0.000, 0.500) [4 per cell]
Ir (0.250, 0.250, 0.750) [4 per cell]

Computed properties:
E_tot = -5.695 eV per atom



No. 3
Material: BeAgIr
Method: DFT, GGA-PBE
State: relaxed

a b c (Å): 5.535 5.535 5.535
angles (deg): 90.00 90.00 90.00
Space group F-43m (No. 216)
Unique sites:
Be (0.000, 0.000, 0.000) [4 per cell]
Ag (0.250, 0.250, 0.750) [4 per cell]
Ir (0.250, 0.250, 0.250) [4 per cell]

Computed properties:
E_tot = -4.950 eV per atom



No. 4
Material: BeAgMoIr
Method: DFT, GGA-PBE
State: relaxed

a b c (Å): 6.124 6.124 6.124
angles (deg): 90.00 90.00 90.00
Space group F-43m (No. 216)
Unique sites:
Be (0.000, 0.000, 0.000) [4 per cell]
Ag (0.250, 0.250, 0.250) [4 per cell]
Mo (0.250, 0.250, 0.750) [4 per cell]
Ir (0.000, 0.000, 0.500) [4 per cell]

Computed properties:
E_tot = -6.336 eV per atom